(1)
VASP calculation (PBE-GGA) on crystalline NbTlCuTcTe at its relaxed geometry.

Calculated values
Energy above the most stable polymorph in this dataset ... 134.5 meV/atom
Uncorrected energy ... -5.77 eV per atom
Symmetry ... No. 8
Formation energy (no corrections) ... 0.23 eV/atom

Cell lengths 5.018, 5.018, 6.462 Å; angles 101.15, 101.15, 42.23 degrees
Fractional positions:
Nb: 0.000 0.000 0.000
Tl: 0.075 0.075 0.529
Cu: 0.695 0.695 0.851
Tc: 0.394 0.394 0.743
Te: 0.310 0.310 0.168



(2)
VASP calculation (PBE-GGA) on crystalline InPd2Pt3 at its relaxed geometry.

Calculated values
ΔE_f ... -0.11 eV per atom
Energy above the most stable polymorph in this dataset ... 0.0 meV/atom
Uncorrected energy ... -5.31 eV per atom
Symmetry ... No. 15

Cell lengths 7.492, 7.492, 5.159 Å; angles 90.02, 90.02, 136.13 degrees
Fractional positions:
In: 0.151 0.849 0.750
In: 0.849 0.151 0.250
Pd: 0.255 0.255 0.001
Pd: 0.255 0.255 0.501
Pd: 0.745 0.745 0.499
Pd: 0.745 0.745 0.999
Pt: 0.073 0.426 0.751
Pt: 0.347 0.653 0.250
Pt: 0.426 0.073 0.251
Pt: 0.574 0.927 0.749
Pt: 0.653 0.347 0.750
Pt: 0.927 0.574 0.249



(3)
VASP calculation (PBE-GGA) on crystalline CeDy2Cd5 at its relaxed geometry.

Calculated values
ΔE_f ... -0.26 eV per atom
Uncorrected energy ... -2.72 eV per atom
Symmetry ... No. 139

Cell lengths 8.293, 8.293, 8.293 Å; angles 143.27, 143.27, 52.91 degrees
Fractional positions:
Ce: 0.000 0.000 0.000
Dy: 0.264 0.264 0.000
Dy: 0.736 0.736 0.000
Cd: 0.123 0.623 0.500
Cd: 0.377 0.877 0.500
Cd: 0.500 0.500 0.000
Cd: 0.623 0.123 0.500
Cd: 0.877 0.377 0.500



(4)
VASP calculation (PBE-GGA) on crystalline Tm6Sn2Au at its relaxed geometry.

Calculated values
ΔE_f ... -0.56 eV per atom
Uncorrected energy ... -4.80 eV per atom
Symmetry ... No. 189

Cell lengths 8.442, 8.442, 3.921 Å; angles 90.00, 90.00, 120.00 degrees
Fractional positions:
Tm: 0.000 0.397 0.000
Tm: 0.000 0.744 0.500
Tm: 0.256 0.256 0.500
Tm: 0.397 0.000 0.000
Tm: 0.603 0.603 0.000
Tm: 0.744 0.000 0.500
Sn: 0.333 0.667 0.500
Sn: 0.667 0.333 0.500
Au: 0.000 0.000 0.000



(5)
VASP calculation (PBE-GGA) on crystalline InHg2Cl at its relaxed geometry.

Calculated values
Energy above the most stable polymorph in this dataset ... 0.0 meV/atom
Uncorrected energy ... -1.69 eV per atom
Symmetry ... No. 11
Formation energy (no corrections) ... -0.39 eV/atom

Cell lengths 4.316, 4.505, 12.693 Å; angles 90.00, 99.61, 90.00 degrees
Fractional positions:
In: 0.181 0.250 0.362
In: 0.819 0.750 0.638
Hg: 0.051 0.750 0.098
Hg: 0.424 0.750 0.851
Hg: 0.576 0.250 0.149
Hg: 0.949 0.250 0.902
Cl: 0.295 0.250 0.592
Cl: 0.705 0.750 0.408



(6)
VASP calculation (PBE-GGA) on crystalline Gd2ScP at its relaxed geometry.

Calculated values
ΔE_f ... -0.41 eV per atom
Uncorrected energy ... -10.39 eV per atom
Symmetry ... No. 166

Cell lengths 9.995, 9.995, 9.995 Å; angles 21.49, 21.49, 21.49 degrees
Fractional positions:
Gd: 0.110 0.110 0.110
Gd: 0.890 0.890 0.890
Sc: 0.000 0.000 0.000
P: 0.500 0.500 0.500



(7)
VASP calculation (PBE-GGA) on crystalline NaCo2Tc2 at its relaxed geometry.

Calculated values
ΔE_f ... 0.40 eV per atom
Energy above the most stable polymorph in this dataset ... 62.8 meV/atom
Uncorrected energy ... -6.86 eV per atom
Symmetry ... No. 127

Cell lengths 7.432, 7.432, 2.566 Å; angles 90.00, 90.00, 90.00 degrees
Fractional positions:
Na: 0.000 0.000 0.000
Na: 0.500 0.500 0.000
Co: 0.122 0.378 0.000
Co: 0.378 0.878 0.000
Co: 0.622 0.122 0.000
Co: 0.878 0.622 0.000
Tc: 0.166 0.666 0.500
Tc: 0.334 0.166 0.500
Tc: 0.666 0.834 0.500
Tc: 0.834 0.334 0.500



(8)
VASP calculation (PBE-GGA) on crystalline SrS2O at its relaxed geometry.

Calculated values
Uncorrected energy ... -4.02 eV per atom
Symmetry ... No. 166
Formation energy (no corrections) ... -0.29 eV/atom

Cell lengths 5.391, 5.391, 5.391 Å; angles 47.73, 47.73, 47.73 degrees
Fractional positions:
Sr: 0.000 0.000 0.000
S: 0.192 0.192 0.192
S: 0.808 0.808 0.808
O: 0.500 0.500 0.500



(9)
VASP calculation (PBE-GGA) on crystalline Sc2TcBi at its relaxed geometry.

Calculated values
ΔE_f ... -0.35 eV per atom
Uncorrected energy ... -7.07 eV per atom
Symmetry ... No. 123

Cell lengths 3.537, 3.537, 6.614 Å; angles 90.00, 90.00, 90.00 degrees
Fractional positions:
Sc: 0.000 0.000 0.218
Sc: 0.000 0.000 0.782
Tc: 0.500 0.500 0.000
Bi: 0.500 0.500 0.500



(10)
VASP calculation (PBE-GGA) on crystalline NaLa2HoTe4 at its relaxed geometry.

Calculated values
Uncorrected energy ... -4.96 eV per atom
Symmetry ... No. 10
Formation energy (no corrections) ... -1.42 eV/atom

Cell lengths 7.768, 4.494, 7.852 Å; angles 90.00, 109.25, 90.00 degrees
Fractional positions:
Na: 0.000 0.000 0.000
La: 0.500 0.000 0.500
La: 0.500 0.500 0.000
Ho: 0.000 0.500 0.500
Te: 0.234 0.000 0.742
Te: 0.238 0.500 0.251
Te: 0.762 0.500 0.749
Te: 0.766 0.000 0.258



(11)
VASP calculation (PBE-GGA) on crystalline ScAl2Rh at its relaxed geometry.

Calculated values
ΔE_f ... -0.31 eV per atom
Uncorrected energy ... -5.60 eV per atom
Symmetry ... No. 122

Cell lengths 10.113, 10.113, 10.113 Å; angles 158.11, 158.11, 31.15 degrees
Fractional positions:
Sc: 0.000 0.000 0.000
Sc: 0.750 0.250 0.500
Al: 0.136 0.625 0.011
Al: 0.375 0.386 0.511
Al: 0.614 0.125 0.989
Al: 0.875 0.864 0.489
Rh: 0.250 0.750 0.500
Rh: 0.500 0.500 0.000



(12)
VASP calculation (PBE-GGA) on crystalline La3Nd4Sm4 at its relaxed geometry.

Calculated values
ΔE_f ... 0.14 eV per atom
Energy above the most stable polymorph in this dataset ... 0.0 meV/atom
Uncorrected energy ... -4.65 eV per atom
Symmetry ... No. 38

Cell lengths 10.992, 6.798, 6.798 Å; angles 51.19, 90.00, 90.00 degrees
Fractional positions:
La: 0.000 0.000 0.000
La: 0.291 0.158 0.158
La: 0.709 0.158 0.158
Nd: 0.000 0.703 0.703
Nd: 0.214 0.495 0.495
Nd: 0.500 0.634 0.634
Nd: 0.786 0.495 0.495
Sm: 0.000 0.302 0.302
Sm: 0.304 0.855 0.855
Sm: 0.500 0.361 0.361
Sm: 0.696 0.855 0.855